No. 1
# LiTaSe3

A relaxed LiTaSe3 crystal (PBE, the Alexandria database).

Unit cell a=12.9383 b=10.1056 c=10.1056 alpha=86.95 beta=126.96 gamma=53.04
Last column: nearest neighbours and their distance in Å.
Fractional positions:
Ta 0.2074 0.9932 0.8581  4 Se 2.31-2.50
Se 0.4070 0.9985 0.1441  2 Ta 2.48-2.50
Li 0.7500 0.4797 0.9797  4 Se 2.60-2.64
Se 0.4039 0.3974 0.3885  1 Ta 2.41, 3 Li 2.59-2.64
Ta 0.7926 0.0068 0.1419  4 Se 2.31-2.50
Li 0.2500 0.7653 0.2653  4 Se 2.59-2.64
Se 0.0961 0.8885 0.8974  1 Ta 2.41, 3 Li 2.59-2.64
Se 0.5909 0.2417 0.1519  1 Ta 2.31
Ta 0.7074 0.6419 0.5068  4 Se 2.31-2.50
Li 0.7500 0.2347 0.7347  4 Se 2.59-2.64
Se 0.9091 0.6519 0.7417  1 Ta 2.31
Se 0.5930 0.0015 0.8559  2 Ta 2.48-2.50
Se 0.4091 0.7583 0.8481  1 Ta 2.31
Se 0.0930 0.6441 0.4985  2 Ta 2.48-2.50
Li 0.2500 0.5203 0.0203  4 Se 2.60-2.64
Ta 0.2926 0.3581 0.4932  4 Se 2.31-2.50
Se 0.9039 0.1115 0.1026  1 Ta 2.41, 3 Li 2.59-2.64
Se 0.5961 0.6026 0.6115  1 Ta 2.41, 3 Li 2.59-2.64
Se 0.9070 0.3559 0.5015  2 Ta 2.48-2.50
Se 0.0909 0.3481 0.2583  1 Ta 2.31

Energy relative to the elements, uncorrected in eV/f.u.: -3.65
DFT total energy in eV/atom: -5.57
Total magnetic moment in μB per atom: 0.000
Polymorph energy (0 for the lowest one) in kJ per mole of atoms: 13.7

***

No. 2
# LiTaSe3

A relaxed LiTaSe3 crystal (PBE, the Alexandria database).

Unit cell a=3.5586 b=7.4660 c=7.4660 alpha=120.96 beta=90.00 gamma=90.00
Last column: nearest neighbours and their distance in Å.
Fractional positions:
Se 0.5000 0.6908 0.7849  2 Ta 2.56, 1 Li 2.61
Se 0.5000 0.2151 0.3092  2 Ta 2.56, 1 Li 2.61
Li 0.5000 0.0877 0.9123  4 Se 2.53-2.61
Se 0.0000 0.2267 0.7733  1 Ta 2.35, 2 Li 2.53
Ta 0.0000 0.4077 0.5923  5 Se 2.35-2.56

Energy relative to the elements, uncorrected in eV/f.u.: -3.75
DFT total energy in eV/atom: -5.59
Total magnetic moment in μB per atom: 0.000
Polymorph energy (0 for the lowest one) in kJ per mole of atoms: 11.7

***

No. 3
# LiTaSe3

A relaxed LiTaSe3 crystal (PBE, the Alexandria database).

Unit cell a=6.9640 b=6.4533 c=6.9623 alpha=74.87 beta=65.97 gamma=105.12
Last column: nearest neighbours and their distance in Å.
Fractional positions:
Se 0.2706 0.4141 0.5570  2 Ta 2.53-2.62, 1 Li 2.66
Se 0.6747 0.6688 0.8475  2 Ta 2.55-2.63, 2 Li 2.82
Se 0.9653 0.4142 0.2515  2 Ta 2.53-2.62, 1 Li 2.66
Se 0.9915 0.9210 0.2358  2 Ta 2.54-2.66, 1 Li 2.60
Ta 0.9703 0.5646 0.5519  6 Se 2.53-2.66
Li 0.3136 0.8122 0.9023  5 Se 2.60-2.89
Se 0.2863 0.9209 0.5307  2 Ta 2.54-2.66, 1 Li 2.60
Li 0.6201 0.8118 0.2087  5 Se 2.60-2.89
Se 0.6710 0.1555 0.8513  2 Ta 2.53-2.66, 2 Li 2.69
Ta 0.9842 0.0752 0.5380  6 Se 2.54-2.66

Energy relative to the elements, uncorrected in eV/f.u.: -4.26
DFT total energy in eV/atom: -5.70
Total magnetic moment in μB per atom: 0.000
Polymorph energy (0 for the lowest one) in kJ per mole of atoms: 1.9

***

No. 4
# Li2TaSe

A relaxed Li2TaSe crystal (PBE, the Alexandria database).

Unit cell a=4.9441 b=2.7406 c=5.3134 alpha=89.89 beta=90.00 gamma=90.00
Last column: nearest neighbours and their distance in Å.
Fractional positions:
Li 0.0000 0.1222 0.9868  2 Se 2.64, 4 Li 2.74-2.77
Ta 0.5000 0.6255 0.7279  2 Se 2.62, 2 Ta 2.74
Li 0.5000 0.1263 0.2231  4 Li 2.74-2.77, 4 Ta 2.96-3.01
Se 0.0000 0.6261 0.5622  2 Ta 2.62, 2 Li 2.64, 2 Se 2.74

Energy relative to the elements, uncorrected in eV/f.u.: 0.30
DFT total energy in eV/atom: -4.72
Total magnetic moment in μB per atom: 0.000

***

No. 5
# LiTaSe2

A relaxed LiTaSe2 crystal (PBE, the Alexandria database).

Unit cell a=3.4654 b=5.6296 c=7.9110 alpha=86.29 beta=90.00 gamma=90.00
Last column: nearest neighbours and their distance in Å.
Fractional positions:
Se 0.4105 0.1966 0.1427  2 Ta 2.64, 3 Li 2.66-2.70
Se 0.9105 0.6530 0.3653  3 Ta 2.63-2.64, 2 Li 2.77
Li 0.4105 0.7257 0.0944  6 Se 2.67-2.98
Se 0.9105 0.7080 0.8389  2 Ta 2.64, 3 Li 2.67-2.70
Ta 0.9105 0.1185 0.3914  5 Se 2.63-2.64, 2 Ta 2.93
Ta 0.4105 0.7860 0.5901  5 Se 2.63-2.64, 2 Ta 2.93
Li 0.9105 0.1785 0.8882  6 Se 2.66-2.98
Se 0.4105 0.2514 0.6163  3 Ta 2.63-2.64, 2 Li 2.77

Energy relative to the elements, uncorrected in eV/f.u.: -3.54
DFT total energy in eV/atom: -6.07
Total magnetic moment in μB per atom: 0.000

***

No. 6
# LiTaSe

A relaxed LiTaSe crystal (PBE, the Alexandria database).

Unit cell a=4.3588 b=4.3588 c=3.2960 alpha=90.00 beta=90.00 gamma=120.00
Last column: nearest neighbours and their distance in Å.
Fractional positions:
Ta 0.3333 0.6667 0.4999  3 Se 2.52
Li 0.0000 0.0000 0.0000  6 Ta 3.01, 6 Se 3.01, 2 Li 3.30
Se 0.6667 0.3333 0.5001  3 Ta 2.52

Energy relative to the elements, uncorrected in eV/f.u.: 0.15
DFT total energy in eV/atom: -5.70
Total magnetic moment in μB per atom: 0.000
Polymorph energy (0 for the lowest one) in kJ per mole of atoms: 27.7

***

No. 7
# LiTaSe

A relaxed LiTaSe crystal (PBE, the Alexandria database).

Unit cell a=6.9335 b=6.6848 c=3.0364 alpha=81.74 beta=72.58 gamma=25.68
Last column: nearest neighbours and their distance in Å.
Fractional positions:
Se 0.3278 0.3278 0.6722  2 Ta 2.57, 2 Li 2.74
Ta 0.6789 0.6789 0.3211  2 Se 2.57
Li 0.9933 0.9933 0.0067  2 Se 2.74, 2 Ta 2.94, 4 Li 3.04

Energy relative to the elements, uncorrected in eV/f.u.: -0.10
DFT total energy in eV/atom: -5.78
Total magnetic moment in μB per atom: 0.000
Polymorph energy (0 for the lowest one) in kJ per mole of atoms: 19.6

***

No. 8
# LiTaSe2

A relaxed LiTaSe2 crystal (PBE, the Alexandria database).

Unit cell a=3.2421 b=3.2421 c=6.7731 alpha=90.00 beta=90.00 gamma=90.00
Last column: nearest neighbours and their distance in Å.
Fractional positions:
Li 0.5000 0.5000 0.7500  8 Se 2.94, 4 Li 3.24
Se 0.0000 0.0000 0.0229  4 Ta 2.76, 4 Li 2.94, 1 Se 3.08
Se 0.0000 0.0000 0.4771  4 Ta 2.76, 4 Li 2.94, 1 Se 3.08
Ta 0.5000 0.5000 0.2500  8 Se 2.76

Energy relative to the elements, uncorrected in eV/f.u.: -2.94
DFT total energy in eV/atom: -5.92
Total magnetic moment in μB per atom: 0.000

***

No. 9
# Li2TaSe

A relaxed Li2TaSe crystal (PBE, the Alexandria database).

Unit cell a=3.7950 b=3.7950 c=4.2847 alpha=90.00 beta=90.00 gamma=90.00
Last column: nearest neighbours and their distance in Å.
Fractional positions:
Li 0.0000 0.0000 0.0000  4 Li 2.68, 4 Ta 2.86, 4 Se 2.86
Ta 0.0000 0.5000 0.5000  4 Se 2.68, 8 Li 2.86
Se 0.5000 0.0000 0.5000  4 Ta 2.68, 8 Li 2.86
Li 0.5000 0.5000 0.0000  4 Li 2.68, 4 Ta 2.86, 4 Se 2.86

Energy relative to the elements, uncorrected in eV/f.u.: 0.12
DFT total energy in eV/atom: -4.76
Total magnetic moment in μB per atom: 0.000

***

No. 10
# LiTaSe3

A relaxed LiTaSe3 crystal (PBE, the Alexandria database).

Unit cell a=4.0916 b=4.0916 c=7.0557 alpha=90.00 beta=90.00 gamma=90.00
Last column: nearest neighbours and their distance in Å.
Fractional positions:
Li 0.0000 0.0000 0.1299  5 Se 2.47-2.68
Ta 0.5000 0.5000 0.6018  4 Se 2.59
Se 0.0000 0.5000 0.3763  2 Ta 2.59, 2 Li 2.68, 4 Se 2.89
Se 0.0000 0.0000 0.7796  1 Li 2.47
Se 0.5000 0.0000 0.3763  2 Ta 2.59, 2 Li 2.68, 4 Se 2.89

Energy relative to the elements, uncorrected in eV/f.u.: -1.46
DFT total energy in eV/atom: -5.14
Total magnetic moment in μB per atom: 0.176
Polymorph energy (0 for the lowest one) in kJ per mole of atoms: 55.8

***

No. 11
# LiTaSe2

A relaxed LiTaSe2 crystal (PBE, the Alexandria database).

Unit cell a=4.6737 b=4.6737 c=4.6737 alpha=60.00 beta=60.00 gamma=60.00
Last column: nearest neighbours and their distance in Å.
Fractional positions:
Ta 0.7500 0.7500 0.7500  4 Se 2.86, 4 Li 2.86
Li 0.5000 0.5000 0.5000  4 Se 2.86, 4 Ta 2.86
Se 0.2500 0.2500 0.2500  4 Se 2.86, 4 Li 2.86
Se 0.0000 0.0000 0.0000  4 Ta 2.86, 4 Se 2.86

Energy relative to the elements, uncorrected in eV/f.u.: 1.71
DFT total energy in eV/atom: -4.76
Total magnetic moment in μB per atom: 0.453

***

No. 12
# LiTaSe3

A relaxed LiTaSe3 crystal (PBE, the Alexandria database).

Unit cell a=5.4081 b=5.4081 c=9.6274 alpha=73.69 beta=73.69 gamma=90.00
Last column: nearest neighbours and their distance in Å.
Fractional positions:
Se 0.1084 0.3817 0.7832  1 Ta 2.42, 1 Se 2.45
Se 0.6183 0.8916 0.2168  1 Ta 2.42, 1 Se 2.45
Se 0.7143 0.7143 0.5715  2 Ta 2.78, 2 Li 2.87
Ta 0.2500 0.7500 0.5000  8 Se 2.78-2.79
Li 0.6605 0.1605 0.6789  2 Se 2.87, 1 Li 3.16
Se 0.2857 0.2857 0.4285  2 Ta 2.78, 2 Li 2.87
Se 0.1649 0.8916 0.2168  1 Ta 2.42, 1 Se 2.45
Ta 0.0000 0.0000 0.0000  4 Se 2.42
Se 0.1084 0.8351 0.7832  1 Ta 2.42, 1 Se 2.45
Li 0.8395 0.3395 0.3211  2 Se 2.87, 1 Li 3.16

Energy relative to the elements, uncorrected in eV/f.u.: -1.16
DFT total energy in eV/atom: -5.08
Total magnetic moment in μB per atom: 0.097
Polymorph energy (0 for the lowest one) in kJ per mole of atoms: 61.7

***

No. 13
# LiTaSe3

A relaxed LiTaSe3 crystal (PBE, the Alexandria database).

Unit cell a=3.6021 b=9.2117 c=7.6912 alpha=72.52 beta=103.00 gamma=89.59
Last column: nearest neighbours and their distance in Å.
Fractional positions:
Se 0.0574 0.3927 0.2467  1 Ta 2.42, 2 Li 2.63-2.64
Li 0.5311 0.2033 0.1899  5 Se 2.63-2.86
Ta 0.0036 0.6645 0.2024  4 Se 2.42-2.65
Se 0.9967 0.9882 0.1168  3 Ta 2.58-2.85, 2 Li 2.85-2.86
Li 0.7025 0.3656 0.5306  6 Se 2.71-2.82
Se 0.4123 0.7370 0.9336  2 Ta 2.53-2.73
Se 0.3334 0.3278 0.8140  1 Ta 2.39
Se 0.7409 0.0462 0.6031  2 Ta 2.50-2.64
Ta 0.3266 0.0624 0.8411  4 Se 2.39-2.64
Se 0.6491 0.6791 0.4410  2 Ta 2.49-2.65, 1 Li 2.75

Energy relative to the elements, uncorrected in eV/f.u.: -4.28
DFT total energy in eV/atom: -5.70
Total magnetic moment in μB per atom: 0.000
Polymorph energy (0 for the lowest one) in kJ per mole of atoms: 1.5

***

No. 14
# Li2TaSe

A relaxed Li2TaSe crystal (PBE, the Alexandria database).

Unit cell a=5.0423 b=5.0423 c=5.0423 alpha=139.28 beta=134.13 gamma=62.99
Last column: nearest neighbours and their distance in Å.
Fractional positions:
Li 0.2680 0.7680 0.5000  2 Se 2.60, 4 Ta 2.64, 4 Li 2.80-2.90
Ta 0.7415 0.2415 0.5000  8 Li 2.64-2.86, 4 Se 2.78-2.91
Li 0.0000 0.0000 0.0000  4 Se 2.64, 4 Li 2.80-2.90, 4 Ta 2.83-2.86
Se 0.4904 0.4904 0.0000  6 Li 2.60-2.64, 4 Ta 2.78-2.91

Energy relative to the elements, uncorrected in eV/f.u.: -0.05
DFT total energy in eV/atom: -4.80
Total magnetic moment in μB per atom: 0.000

***

No. 15
# LiTaSe3

A relaxed LiTaSe3 crystal (PBE, the Alexandria database).

Unit cell a=9.4081 b=9.4081 c=9.4081 alpha=60.00 beta=60.00 gamma=60.00
Last column: nearest neighbours and their distance in Å.
Fractional positions:
Li 0.1250 0.1250 0.6250  6 Se 3.29
Se 0.7023 0.2977 0.2977  2 Ta 2.57
Ta 0.6250 0.1250 0.6250  6 Se 2.57
Se 0.7023 0.7023 0.2977  2 Ta 2.57
Se 0.9523 0.5477 0.5477  2 Ta 2.57
Ta 0.6250 0.6250 0.6250  6 Se 2.57
Se 0.5477 0.9523 0.5477  2 Ta 2.57
Ta 0.6250 0.6250 0.1250  6 Se 2.57
Ta 0.1250 0.6250 0.6250  6 Se 2.57
Se 0.9523 0.9523 0.5477  2 Ta 2.57
Se 0.5477 0.9523 0.9523  2 Ta 2.57
Se 0.9523 0.5477 0.9523  2 Ta 2.57
Se 0.5477 0.5477 0.9523  2 Ta 2.57
Se 0.2977 0.7023 0.2977  2 Ta 2.57
Li 0.1250 0.1250 0.1250  6 Se 3.29
Li 0.6250 0.1250 0.1250  6 Se 3.29
Li 0.1250 0.6250 0.1250  6 Se 3.29
Se 0.7023 0.2977 0.7023  2 Ta 2.57
Se 0.2977 0.7023 0.7023  2 Ta 2.57
Se 0.2977 0.2977 0.7023  2 Ta 2.57

Energy relative to the elements, uncorrected in eV/f.u.: -2.64
DFT total energy in eV/atom: -5.37
Total magnetic moment in μB per atom: 0.000
Polymorph energy (0 for the lowest one) in kJ per mole of atoms: 33.1

***

No. 16
# LiTaSe3

A relaxed LiTaSe3 crystal (PBE, the Alexandria database).

Unit cell a=3.7876 b=3.7876 c=19.3532 alpha=90.00 beta=90.00 gamma=120.00
Last column: nearest neighbours and their distance in Å.
Fractional positions:
Se 0.6667 0.3333 0.0790  3 Ta 2.67
Li 0.3333 0.6667 0.7500  3 Se 2.19
Se 0.6667 0.3333 0.4210  3 Ta 2.67
Se 0.3333 0.6667 0.9210  3 Ta 2.67
Ta 0.0000 0.0000 0.0000  6 Se 2.67
Se 0.0000 0.0000 0.7500  3 Li 2.19
Ta 0.0000 0.0000 0.5000  6 Se 2.67
Li 0.6667 0.3333 0.2500  3 Se 2.19
Se 0.3333 0.6667 0.5790  3 Ta 2.67
Se 0.0000 0.0000 0.2500  3 Li 2.19

Energy relative to the elements, uncorrected in eV/f.u.: -2.04
DFT total energy in eV/atom: -5.25
Total magnetic moment in μB per atom: 0.190
Polymorph energy (0 for the lowest one) in kJ per mole of atoms: 44.7

***

No. 17
# LiTaSe3

A relaxed LiTaSe3 crystal (PBE, the Alexandria database).

Unit cell a=4.3544 b=4.3544 c=15.1733 alpha=90.00 beta=90.00 gamma=120.00
Last column: nearest neighbours and their distance in Å.
Fractional positions:
Ta 0.3333 0.6667 0.7500  5 Se 2.49-2.51
Li 0.0000 0.0000 0.0000  6 Se 2.83
Se 0.3333 0.6667 0.5860  1 Ta 2.49
Se 0.3333 0.6667 0.9140  1 Ta 2.49
Se 0.0000 0.0000 0.2500  3 Ta 2.51
Se 0.0000 0.0000 0.7500  3 Ta 2.51
Ta 0.6667 0.3333 0.2500  5 Se 2.49-2.51
Li 0.0000 0.0000 0.5000  6 Se 2.83
Se 0.6667 0.3333 0.4140  1 Ta 2.49
Se 0.6667 0.3333 0.0860  1 Ta 2.49

Energy relative to the elements, uncorrected in eV/f.u.: -2.42
DFT total energy in eV/atom: -5.33
Total magnetic moment in μB per atom: 0.000
Polymorph energy (0 for the lowest one) in kJ per mole of atoms: 37.4

***

No. 18
# LiTaSe2

A relaxed LiTaSe2 crystal (PBE, the Alexandria database).

Unit cell a=4.6873 b=4.6873 c=4.6873 alpha=130.36 beta=115.85 gamma=85.20
Last column: nearest neighbours and their distance in Å.
Fractional positions:
Ta 0.7500 0.2500 0.5000  8 Se 2.74-2.93
Li 0.2500 0.7500 0.5000  4 Se 2.50
Se 0.0256 0.0256 0.0000  2 Li 2.50, 2 Ta 2.74
Se 0.4744 0.4744 0.0000  2 Li 2.50, 2 Ta 2.74

Energy relative to the elements, uncorrected in eV/f.u.: -1.58
DFT total energy in eV/atom: -5.58
Total magnetic moment in μB per atom: 0.000

***

No. 19
# LiTaSe3

A relaxed LiTaSe3 crystal (PBE, the Alexandria database).

Unit cell a=19.0382 b=9.1334 c=9.1334 alpha=152.97 beta=153.61 gamma=26.39
Last column: nearest neighbours and their distance in Å.
Fractional positions:
Ta 0.9292 0.2575 0.7425  4 Se 2.41-2.63
Se 0.8596 0.1755 0.8245  1 Se 2.46, 2 Li 2.57, 1 Ta 2.73
Ta 0.0708 0.7425 0.2575  4 Se 2.41-2.63
Se 0.6046 0.5690 0.4310  1 Ta 2.41
Se 0.8975 0.4364 0.5636  3 Ta 2.52-2.63
Se 0.1025 0.5636 0.4364  3 Ta 2.52-2.63
Li 0.2886 0.1258 0.8742  4 Se 2.57-2.78
Li 0.7114 0.8742 0.1258  4 Se 2.57-2.78
Se 0.3954 0.4310 0.5690  1 Ta 2.41
Se 0.1404 0.8245 0.1755  1 Se 2.46, 2 Li 2.57, 1 Ta 2.73

Energy relative to the elements, uncorrected in eV/f.u.: -3.23
DFT total energy in eV/atom: -5.49
Total magnetic moment in μB per atom: 0.000
Polymorph energy (0 for the lowest one) in kJ per mole of atoms: 21.7

***

No. 20
# LiTaSe3

A relaxed LiTaSe3 crystal (PBE, the Alexandria database).

Unit cell a=4.5522 b=4.5522 c=4.5522 alpha=90.00 beta=90.00 gamma=90.00
Last column: nearest neighbours and their distance in Å.
Fractional positions:
Ta 0.5000 0.5000 0.5000  12 Se 3.22
Li 0.0000 0.0000 0.0000  6 Se 2.28
Se 0.0000 0.5000 0.0000  2 Li 2.28
Se 0.0000 0.0000 0.5000  2 Li 2.28
Se 0.5000 0.0000 0.0000  2 Li 2.28

Energy relative to the elements, uncorrected in eV/f.u.: 2.84
DFT total energy in eV/atom: -4.28
Total magnetic moment in μB per atom: 0.000
Polymorph energy (0 for the lowest one) in kJ per mole of atoms: 138.9